# 1
Compound: BaNiIr2
Source: the Alexandria database
Functional: PBE
Structure: relaxed

The structure in POSCAR format:
```
BaNiIr2
1.0
4.8071 -0.0049 -0.0175
-2.3350 5.4284 0.0058
0.1371 0.7997 2.8324
Ir Ba Ni
2 1 1
direct
0.5000 0.0000 0.5000
0.0000 0.0000 0.0000
0.5000 0.5000 0.0000
0.0000 0.5000 0.5000
```

Output
ρ: 13.04 g/cm3
uncorrected energy: -22.5 eV for the cell shown
V: 73.9 Å³ per cell
energy relative to the elements: 0.740 eV per atom
magnetization: 0.00 μB per formula unit
crystal system: monoclinic
N(E_F): 1.161 states/eV/atom

# 2
Compound: PaMnNiP2
Source: the Alexandria database
Functional: PBE
Structure: relaxed

The structure in POSCAR format:
```
PaMnNiP2
1.0
3.7494 0.0000 0.0000
0.0000 3.7494 0.0000
-1.8747 -1.8747 5.1241
Mn Pa P Ni
1 1 2 1
direct
0.7500 0.2500 0.5000
0.0000 0.0000 0.0000
0.6271 0.6271 0.2541
0.3729 0.3729 0.7459
0.2500 0.7500 0.5000
```

Output
ρ: 9.37 g/cm3
uncorrected energy: -39.5 eV for the cell shown
V: 72.0 Å³ per cell
energy relative to the elements: -0.855 eV per atom
magnetization: 0.00 μB per formula unit
crystal system: tetragonal
N(E_F): 1.045 states/eV/atom

# 3
Compound: Re3CI
Source: the Alexandria database
Functional: PBE
Structure: relaxed

The structure in POSCAR format:
```
Re3CI
1.0
-0.5040 -0.7871 4.1140
-2.5261 -3.2482 -0.9309
3.3412 -2.5745 -0.0832
Re I C
3 1 1
direct
0.0000 0.0000 0.5000
0.5000 0.0000 0.0000
0.0000 0.5000 0.0000
0.5000 0.5000 0.5000
0.0000 0.0000 0.0000
```

Output
ρ: 15.43 g/cm3
uncorrected energy: -42.1 eV for the cell shown
V: 75.1 Å³ per cell
magnetization: 0.00 μB per formula unit
crystal system: cubic
formation energy from raw total energies: 1.2023 eV/atom
N(E_F): 1.436 states/eV/atom

# 4
Compound: Sn2PI
Source: the Alexandria database
Functional: PBE
Structure: relaxed

The structure in POSCAR format:
```
Sn2PI
1.0
0.0000 3.7682 3.7682
3.7682 0.0000 3.7682
3.7682 3.7682 0.0000
P Sn I
1 2 1
direct
0.0000 0.0000 0.0000
0.2500 0.2500 0.2500
0.7500 0.7500 0.7500
0.5000 0.5000 0.5000
```

Output
ρ: 6.13 g/cm3
uncorrected energy: -13.8 eV for the cell shown
V: 107.0 Å³ per cell
magnetization: 0.00 μB per formula unit
crystal system: cubic
formation energy from raw total energies: 0.3030 eV/atom
N(E_F): 0.528 states/eV/atom

# 5
Compound: LiCu2C2O6
Source: the Alexandria database
Functional: PBE
Structure: relaxed

The structure in POSCAR format:
```
LiCu2C2O6
1.0
-6.3074 3.0938 -0.3022
-0.9732 -2.9874 3.8281
2.1443 0.7614 4.0448
Li O Cu C
1 6 2 2
direct
0.5331 0.5568 0.2811
0.8800 0.9696 0.6453
0.3708 0.8420 0.2808
0.2957 0.3561 0.0015
0.1304 0.0297 0.3573
0.7549 0.6748 0.0757
0.6537 0.1802 0.7283
0.9360 0.3431 0.2243
0.0869 0.6656 0.8017
0.2710 0.0704 0.2135
0.7579 0.9471 0.8149
```

Output
ρ: 3.23 g/cm3
uncorrected energy: -71.6 eV for the cell shown
V: 130.5 Å³ per cell
magnetization: 0.00 μB per formula unit
crystal system: triclinic
formation energy from raw total energies: -1.2058 eV/atom
N(E_F): 0.171 states/eV/atom

# 6
Compound: LuMnS2
Source: the Alexandria database
Functional: PBE
Structure: relaxed

The structure in POSCAR format:
```
LuMnS2
1.0
-2.5002 -2.5780 0.6330
0.8060 -2.8328 2.1503
-3.1095 2.1905 7.1433
Mn S Lu
1 2 1
direct
0.5000 0.5000 0.5000
0.8897 0.8897 0.3309
0.1103 0.1103 0.6691
0.0000 0.0000 0.0000
```

Output
ρ: 5.43 g/cm3
uncorrected energy: -24.6 eV for the cell shown
V: 90.0 Å³ per cell
magnetization: 4.34 μB per formula unit
crystal system: trigonal
formation energy from raw total energies: -0.6531 eV/atom
N(E_F): 0.470 states/eV/atom